This record from Alexandria via LeMat-Bulk describes crystalline ThInIr at its relaxed geometry. The functional is GGA-PBE.

Values from the calculation:
- Spin magnetization: 0.00 μB/cell
- DFT formation energy: -0.4788 eV/atom
- Electronic total energy: -6.8186 eV/atom

Cell: 3.632 4.715 4.715 Å, 120.00 90.00 90.00°
Fractional coordinates of all 3 atoms:
Ir  0.167  0.333  0.667
Th  0.667  0.667  0.333
In  0.167  0.000  0.000